--- one ---
Below is a relaxed structure of NiAg2W, with properties calculated at the GGA-PBE level.

Geometry as POSCAR:
```
NiAg2W
1.0
1.396 0.806 9.280
-1.396 0.806 9.280
0.000 -1.612 9.280
Ni Ag W
1 2 1
Direct
0.000 0.000 0.000 Ni
0.255 0.255 0.255 Ag
0.745 0.745 0.745 Ag
0.500 0.500 0.500 W
```

## Properties
DOS at the Fermi energy = 0.300 states/eV per atom
total magnetic moment = 0.0 μB/cell

--- two ---
Below is a relaxed structure of NiAg2W, with properties calculated at the GGA-PBE level.

Geometry as POSCAR:
```
NiAg2W
1.0
2.730 0.000 0.000
0.000 2.730 0.000
0.000 0.000 8.308
Ni Ag W
1 2 1
Direct
0.000 0.000 0.000 Ni
0.500 0.500 0.231 Ag
0.500 0.500 0.769 Ag
0.000 0.000 0.500 W
```

## Properties
DOS at the Fermi energy = 0.806 states/eV per atom
total magnetic moment = 0.4 μB/cell

Pick one: it beats the second-best structure by 45 meV per atom.